First-principles (PBE+U) data for MoOs2O after structural relaxation, as listed in Alexandria.

Cell lengths 4.9347, 4.9347, 10.9114 Å; angles 90.00, 90.00, 90.00 degrees
Last column: nearest neighbours and their distance in Å.
Space group I-42d (No. 122)
Inequivalent atoms, fractional coordinates:
Mo  0.0000  0.0000  0.0000  4 Os 2.50
Os  0.1576  0.2500  0.6250  2 O 2.00
O  0.0000  0.0000  0.5000  4 Os 2.00

Computed properties:
- DFT total energy: -7.658 eV/atom
- Size of the total moment: 0.000 Bohr magnetons per cell
- Volume: 266 Å³/cell